Here is a relaxed BaSr2W crystal from Alexandria. Energies are from PBE.

CIF file:
```
data_BaSr2W
_cell_length_a 8.4797
_cell_length_b 8.4797
_cell_length_c 12.6172
_cell_angle_alpha 90.00
_cell_angle_beta 90.00
_cell_angle_gamma 90.00
_space_group_name_H-M_alt 'I -4 2 d'
_space_group_IT_number 122
_space_group_name_Hall 'I -4 2bw'
loop_
_atom_site_label
_atom_site_type_symbol
_atom_site_fract_x
_atom_site_fract_y
_atom_site_fract_z
_atom_site_occupancy
Ba1 Ba 0.0000 0.0000 0.0000 1
Sr1 Sr 0.0020 0.7500 0.6250 1
W1 W 0.0000 0.0000 0.5000 1
```

Calculated values
The density of states at the Fermi level is 22.86 states/eV per cell. For the formation energy, the calculation gives 1749.6 meV/atom. The energy above the most stable polymorph in this dataset comes out at 771 meV/atom. The electronic total energy is -2.810 eV per atom.